# Sc3SeI3, optimized geometry, DFT PBE-GGA
data_Sc3SeI3
_symmetry_space_group_name_H-M 'I 41 3 2'
_symmetry_Int_Tables_number 214
_symmetry_space_group_name_Hall 'I 4bd 2c 3'
_cell_length_a 11.615
_cell_length_b 11.615
_cell_length_c 11.615
_cell_angle_alpha 90.00
_cell_angle_beta 90.00
_cell_angle_gamma 90.00
loop_
_atom_site_label
_atom_site_fract_x
_atom_site_fract_y
_atom_site_fract_z
Sc1 0.100 0.350 0.125
Se1 0.125 0.125 0.125
I1 0.123 0.127 0.625
# Uncorrected formation energy: -1.127 eV/atom